# 1
## ErAl11Tc (PBE)

Data for crystalline ErAl11Tc at its relaxed geometry.

Space-group type ... C2/m

a = 5.2609 Å, b = 7.0600 Å, c = 6.8770 Å
α = 82.11°, β = 67.51°, γ = 68.98°
Last column: nearest neighbours and their distance in Å.
Positions (direct):
Al1 0.2864 0.2200 0.2144  1 Tc 2.62, 7 Al 2.67-2.90
Al2 0.9822 0.3587 0.6539  8 Al 2.70-2.99, 1 Tc 2.70
Al3 0.4992 0.7800 0.2144  1 Tc 2.62, 7 Al 2.67-2.90
Al4 0.0000 0.0000 0.5000  10 Al 2.63-2.92
Tc1 0.5000 0.5000 0.0000  10 Al 2.62-2.70
Al5 0.0178 0.6413 0.3461  8 Al 2.70-2.99, 1 Tc 2.70
Al6 0.7136 0.7800 0.7856  1 Tc 2.62, 7 Al 2.67-2.90
Al7 0.5000 0.0000 0.5000  10 Al 2.63-2.92
Al8 0.3639 0.6413 0.6539  8 Al 2.70-2.99, 1 Tc 2.70
Er1 0.0000 0.0000 0.0000  18 Al 3.23-3.53, 2 Tc 3.57
Al9 0.6361 0.3587 0.3461  8 Al 2.70-2.99, 1 Tc 2.70
Al10 0.0000 0.5000 0.0000  2 Tc 2.63, 8 Al 2.67-2.75
Al11 0.5008 0.2200 0.7856  1 Tc 2.62, 7 Al 2.67-2.90


# 2
## DyY3Er (PBE)

Data for crystalline DyY3Er at its relaxed geometry.

Space-group type ... C2/c
Energy above the lowest structure with this stoichiometry ... 0.599 eV/f.u.

a = 9.5798 Å, b = 8.7539 Å, c = 8.7539 Å
α = 117.44°, β = 94.20°, γ = 94.20°
Last column: nearest neighbours and their distance in Å.
Positions (direct):
Dy1 0.2500 0.0245 0.9755  4 Er 3.38-3.39, 4 Y 3.54-3.63
Y1 0.0559 0.7540 0.1213  7 Y 3.40-3.74, 1 Er 3.45, 1 Dy 3.63
Er1 0.9538 0.8039 0.7013  6 Y 3.25-3.62, 3 Dy 3.38-3.52
Er2 0.0462 0.1961 0.2987  6 Y 3.25-3.62, 3 Dy 3.38-3.52
Y2 0.6181 0.7073 0.4943  4 Y 3.24-3.55, 3 Er 3.25-3.42, 2 Dy 3.40-3.52
Y3 0.9441 0.2460 0.8787  7 Y 3.40-3.74, 1 Er 3.45, 1 Dy 3.63
Y4 0.3165 0.4308 0.9831  3 Y 3.24-3.58, 2 Er 3.38-3.62, 2 Dy 3.45-3.54
Y5 0.8165 0.9831 0.4308  3 Y 3.24-3.58, 2 Er 3.38-3.62, 2 Dy 3.45-3.54
Er3 0.5462 0.2987 0.1961  6 Y 3.25-3.62, 3 Dy 3.38-3.52
Dy2 0.2500 0.5914 0.4086  6 Y 3.40-3.52, 2 Er 3.52
Y6 0.6835 0.5692 0.0169  3 Y 3.24-3.58, 2 Er 3.38-3.62, 2 Dy 3.45-3.54
Y7 0.5559 0.1213 0.7540  7 Y 3.40-3.74, 1 Er 3.45, 1 Dy 3.63
Y8 0.1181 0.4943 0.7073  4 Y 3.24-3.55, 3 Er 3.25-3.42, 2 Dy 3.40-3.52
Dy3 0.7500 0.4086 0.5914  6 Y 3.40-3.52, 2 Er 3.52
Dy4 0.7500 0.9755 0.0245  4 Er 3.38-3.39, 4 Y 3.54-3.63
Er4 0.4538 0.7013 0.8039  6 Y 3.25-3.62, 3 Dy 3.38-3.52
Y9 0.1835 0.0169 0.5692  3 Y 3.24-3.58, 2 Er 3.38-3.62, 2 Dy 3.45-3.54
Y10 0.8819 0.5057 0.2927  4 Y 3.24-3.55, 3 Er 3.25-3.42, 2 Dy 3.40-3.52
Y11 0.4441 0.8787 0.2460  7 Y 3.40-3.74, 1 Er 3.45, 1 Dy 3.63
Y12 0.3819 0.2927 0.5057  4 Y 3.24-3.55, 3 Er 3.25-3.42, 2 Dy 3.40-3.52


The evaluated DFT formation energy for the records listed, in turn: -231; 120 meV per atom.